# 1
Compound: MgPd
Source: OQMD via LeMat-Bulk
Functional: PBE
Structure: optimized geometry

a = 4.637 Å, b = 11.653 Å, c = 4.994 Å
α = 90.00°, β = 90.00°, γ = 90.00°
Space group Pmmn (No. 59, origin choice 2)
One atom of each set of equivalent atoms:
Mg1 0.250 0.092 0.155 (multiplicity 4)
Mg2 0.250 0.250 0.700 (multiplicity 2)
Mg3 0.250 0.750 0.673 (multiplicity 2)
Pd1 0.250 0.007 0.655 (multiplicity 4)
Pd2 0.250 0.633 0.158 (multiplicity 4)

Properties
Uncorrected energy: -3.907 eV/atom

***

# 2
Compound: LaPr2Cu2Si4Ni2
Source: OQMD via LeMat-Bulk
Functional: PBE
Structure: optimized geometry

a = 4.136 Å, b = 4.180 Å, c = 23.481 Å
α = 90.00°, β = 90.00°, γ = 90.00°
Space group Immm (No. 71)
One atom of each set of equivalent atoms:
La1 0.000 0.000 0.000 (multiplicity 2)
Pr1 0.000 0.500 0.348 (multiplicity 4)
Cu1 0.000 0.500 0.100 (multiplicity 4)
Si1 0.000 0.000 0.448 (multiplicity 4)
Si2 0.000 0.500 0.202 (multiplicity 4)
Ni1 0.000 0.000 0.249 (multiplicity 4)

Properties
Relative energy among the computed polymorphs: 0 meV/atom

***

# 3
Compound: AgI2
Source: OQMD via LeMat-Bulk
Functional: PBE
Structure: optimized geometry

a = 12.575 Å, b = 12.575 Å, c = 12.575 Å
α = 90.00°, β = 90.00°, γ = 90.00°
Space group Fd-3m (No. 227, origin choice 2)
One atom of each set of equivalent atoms:
Ag1 0.125 0.125 0.125 (multiplicity 8)
I1 0.000 0.000 0.000 (multiplicity 16)

Properties
Uncorrected energy: -1.870 eV/atom

***

# 4
Compound: NaHfBiOs
Source: OQMD via LeMat-Bulk
Functional: PBE
Structure: optimized geometry

a = 6.728 Å, b = 6.728 Å, c = 6.728 Å
α = 90.00°, β = 90.00°, γ = 90.00°
Space group F-43m (No. 216)
One atom of each set of equivalent atoms:
Na1 0.000 0.000 0.000 (multiplicity 4)
Hf1 0.250 0.250 0.250 (multiplicity 4)
Bi1 0.250 0.250 0.750 (multiplicity 4)
Os1 0.000 0.000 0.500 (multiplicity 4)

Properties
Relative energy among the computed polymorphs: 0 meV/atom

***

# 5
Compound: RbZrNO
Source: OQMD via LeMat-Bulk
Functional: PBE
Structure: optimized geometry

a = 4.271 Å, b = 4.271 Å, c = 10.985 Å
α = 90.00°, β = 90.00°, γ = 90.00°
Space group P4/nmm (No. 129, origin choice 2)
One atom of each set of equivalent atoms:
Rb1 0.250 0.250 0.147 (multiplicity 2)
Zr1 0.250 0.750 0.500 (multiplicity 2)
N1 0.250 0.250 0.541 (multiplicity 2)
O1 0.250 0.750 0.000 (multiplicity 2)

Properties
Relative energy among the computed polymorphs: 1091 meV/atom

***

# 6
Compound: SmTmSi2Os
Source: OQMD via LeMat-Bulk
Functional: PBE
Structure: optimized geometry

a = 10.635 Å, b = 4.241 Å, c = 10.056 Å
α = 90.00°, β = 118.51°, γ = 90.00°
Space group C2/m (No. 12)
One atom of each set of equivalent atoms:
Sm1 0.189 0.000 0.111 (multiplicity 4)
Tm1 0.003 0.000 0.675 (multiplicity 4)
Si1 0.001 0.500 0.872 (multiplicity 4)
Si2 0.142 0.500 0.559 (multiplicity 4)
Os1 0.232 0.500 0.376 (multiplicity 4)

Properties
Relative energy among the computed polymorphs: 0 meV/atom

***

# 7
Compound: BeFeNi
Source: OQMD via LeMat-Bulk
Functional: PBE
Structure: optimized geometry

a = 5.161 Å, b = 5.161 Å, c = 5.161 Å
α = 90.00°, β = 90.00°, γ = 90.00°
Space group F-43m (No. 216)
One atom of each set of equivalent atoms:
Be1 0.000 0.000 0.000 (multiplicity 4)
Fe1 0.250 0.250 0.250 (multiplicity 4)
Ni1 0.000 0.000 0.500 (multiplicity 4)

Properties
Relative energy among the computed polymorphs: 254 meV/atom

***

# 8
Compound: Li2LuIr
Source: OQMD via LeMat-Bulk
Functional: PBE
Structure: optimized geometry

a = 6.464 Å, b = 6.464 Å, c = 6.464 Å
α = 90.00°, β = 90.00°, γ = 90.00°
Space group F-43m (No. 216)
One atom of each set of equivalent atoms:
Li1 0.000 0.000 0.000 (multiplicity 4)
Li2 0.250 0.250 0.250 (multiplicity 4)
Lu1 0.250 0.250 0.750 (multiplicity 4)
Ir1 0.000 0.000 0.500 (multiplicity 4)

Properties
Uncorrected energy: -4.663 eV/atom